(1)
Material: Fe2NiGeO6
Method: DFT, GGA+U
State: relaxed

Cell: 5.408 5.408 5.408 Å, 55.20 55.20 55.20°
Element x y z (fractional)
Fe1 0.000 0.000 0.000
Fe2 0.490 0.490 0.490
Ni1 0.202 0.202 0.202
Ge1 0.691 0.691 0.691
O1 0.077 0.410 0.783
O2 0.293 0.890 0.614
O3 0.410 0.783 0.077
O4 0.614 0.293 0.890
O5 0.783 0.077 0.410
O6 0.890 0.614 0.293

Properties
symmetry	No. 146
density	5.7	g/cm3
total DFT energy (no corrections)	-6.109	eV per atom

(2)
Material: FeNiGeO4
Method: DFT, GGA+U
State: relaxed

Cell: 5.273 5.273 6.408 Å, 90.00 90.00 113.37°
Element x y z (fractional)
Fe1 0.000 0.000 0.000
Fe2 0.000 0.000 0.500
Ni1 0.331 0.669 0.750
Ni2 0.669 0.331 0.250
Ge1 0.354 0.646 0.250
Ge2 0.646 0.354 0.750
O1 0.241 0.759 0.026
O2 0.241 0.759 0.474
O3 0.256 0.274 0.250
O4 0.274 0.256 0.750
O5 0.726 0.744 0.250
O6 0.744 0.726 0.750
O7 0.759 0.241 0.526
O8 0.759 0.241 0.974

Properties
symmetry	No. 63
density	5.1	g/cm3
total DFT energy (no corrections)	-6.038	eV per atom

(3)
Material: FeNi2GeO6
Method: DFT, GGA+U
State: relaxed

Cell: 4.968 5.007 5.356 Å, 62.54 89.73 61.21°
Element x y z (fractional)
Fe1 0.000 0.000 0.000
Ni1 0.285 0.427 0.867
Ni2 0.794 0.407 0.394
Ge1 0.487 0.014 0.476
O1 0.088 0.511 0.195
O2 0.216 0.916 0.685
O3 0.388 0.920 0.190
O4 0.594 0.201 0.669
O5 0.695 0.213 0.195
O6 0.863 0.543 0.665

Properties
symmetry	No. 1
density	5.7	g/cm3
total DFT energy (no corrections)	-5.763	eV per atom